Entry 1:
The following is a PBE calculation of an optimized crystal structure of Tm2InFe, from Alexandria.

Properties
**Total moment**: 0.0 μB/f.u.
**V**: 87.31 Å³ per cell
**Energy**: -20.99 eV/f.u.
**ΔH_f (0 K)**: -0.213 eV/atom
**D(E_F)**: 2.00 states/eV/f.u.
**SG**: No. 123

Cell lengths 3.310, 3.310, 7.970 Å; angles 90.00, 90.00, 90.00 degrees
Element x y z (fractional)
1 Fe 0.500 0.500 0.000
2 Tm 0.000 0.000 0.199
3 In 0.500 0.500 0.500
4 Tm 0.000 0.000 0.801

=====

Entry 2:
The following is a PBE calculation of an optimized crystal structure of RbNbSe3, from Alexandria.

Properties
**Total moment**: 0.0 μB/f.u.
**V**: 136.97 Å³ per cell
**Energy**: -25.37 eV/f.u.
**D(E_F)**: 2.73 states/eV/f.u.
**SG**: No. 221

Cell lengths 5.155, 5.155, 5.155 Å; angles 90.00, 90.00, 90.00 degrees
Element x y z (fractional)
1 Se 0.000 0.500 0.000
2 Se 0.500 0.000 0.000
3 Nb 0.000 0.000 0.000
4 Se 0.000 0.000 0.500
5 Rb 0.500 0.500 0.500

=====

Entry 3:
The following is a PBE calculation of an optimized crystal structure of Ba2PbO2, from Alexandria.

Properties
**Total moment**: 0.0 μB/f.u.
**V**: 235.26 Å³ per cell
**Energy**: -24.88 eV/f.u.
**D(E_F)**: 2.22 states/eV/f.u.
**SG**: No. 127

Cell lengths 7.863, 7.863, 3.805 Å; angles 90.00, 90.00, 90.00 degrees
Element x y z (fractional)
1 Pb 0.000 0.000 0.000
2 O 0.672 0.172 0.000
3 O 0.328 0.828 0.000
4 O 0.172 0.328 0.000
5 Ba 0.340 0.160 0.500
6 Ba 0.660 0.840 0.500
7 Ba 0.840 0.340 0.500
8 Ba 0.160 0.660 0.500
9 Pb 0.500 0.500 0.000
10 O 0.828 0.672 0.000

=====

Entry 4:
The following is a PBE calculation of an optimized crystal structure of Rb2PbAu2, from Alexandria.

Properties
**Total moment**: 0.0 μB/f.u.
**V**: 335.06 Å³ per cell
**Energy**: -13.06 eV/f.u.
**ΔH_f (0 K)**: -0.173 eV/atom
**D(E_F)**: 2.96 states/eV/f.u.
**SG**: No. 127

Cell lengths 7.820, 7.820, 5.479 Å; angles 90.00, 90.00, 90.00 degrees
Element x y z (fractional)
1 Rb 0.172 0.672 0.500
2 Pb 0.500 0.500 0.000
3 Rb 0.328 0.172 0.500
4 Au 0.869 0.631 0.000
5 Pb 0.000 0.000 0.000
6 Rb 0.828 0.328 0.500
7 Rb 0.672 0.828 0.500
8 Au 0.131 0.369 0.000
9 Au 0.631 0.131 0.000
10 Au 0.369 0.869 0.000